1.
# PBEsol Pr2IrPd, optimized geometry
# - ρ: 10.81 Mg/m³
# - Energy of formation: -0.61 eV per atom
data_Pr2IrPd
_chemical_formula_sum 'Pr8 Ir4 Pd4'
_cell_length_a 7.091
_cell_length_b 7.091
_cell_length_c 7.091
_cell_angle_alpha 90.00
_cell_angle_beta 90.00
_cell_angle_gamma 90.00
_symmetry_space_group_name_H-M 'F m -3 m'
_symmetry_Int_Tables_number 225
_symmetry_space_group_name_Hall '-F 4 2 3'
loop_
_atom_site_label
_atom_site_fract_x
_atom_site_fract_y
_atom_site_fract_z
_atom_site_occupancy
Pr1 0.250 0.250 0.250 1
Ir1 0.000 0.000 0.000 1
Pd1 0.000 0.000 0.500 1

***

2.
# PBEsol IrOs2Pb, optimized geometry
# - ρ: 19.97 Mg/m³
# - Energy of formation: 0.70 eV per atom
data_IrOs2Pb
_chemical_formula_sum 'Ir2 Os4 Pb2'
_cell_length_a 9.032
_cell_length_b 2.868
_cell_length_c 5.099
_cell_angle_alpha 90.00
_cell_angle_beta 100.80
_cell_angle_gamma 90.00
_symmetry_space_group_name_H-M 'C 1 2/m 1'
_symmetry_Int_Tables_number 12
loop_
_symmetry_equiv_pos_as_xyz
'x,y,z'
'-x,-y,-z'
'-x,y,-z'
'x,-y,z'
'x+1/2,y+1/2,z'
'-x+1/2,-y+1/2,-z'
'-x+1/2,y+1/2,-z'
'x+1/2,-y+1/2,z'
loop_
_atom_site_label
_atom_site_fract_x
_atom_site_fract_y
_atom_site_fract_z
_atom_site_occupancy
Ir1 0.000 0.000 0.000 1
Os1 0.243 0.500 0.212 1
Pb1 0.000 0.500 0.500 1

***

3.
# PBEsol SbOs2Br, optimized geometry
# - Uncorrected formation energy: 3.79 eV per formula unit
# - ρ: 13.28 Mg/m³
# - Polymorph energy (0 for the lowest one): 0.00 kcal/mol of atoms
data_SbOs2Br
_chemical_formula_sum 'Sb2 Os4 Br2'
_cell_length_a 2.929
_cell_length_b 4.329
_cell_length_c 11.480
_cell_angle_alpha 90.00
_cell_angle_beta 90.00
_cell_angle_gamma 90.00
_symmetry_space_group_name_H-M 'I m m 2'
_symmetry_Int_Tables_number 44
loop_
_symmetry_equiv_pos_as_xyz
'x,y,z'
'-x,-y,z'
'-x,y,z'
'x,-y,z'
'x+1/2,y+1/2,z+1/2'
'-x+1/2,-y+1/2,z+1/2'
'-x+1/2,y+1/2,z+1/2'
'x+1/2,-y+1/2,z+1/2'
loop_
_atom_site_label
_atom_site_fract_x
_atom_site_fract_y
_atom_site_fract_z
_atom_site_occupancy
Sb1 0.000 0.000 0.000 1
Os1 0.000 0.000 0.592 1
Os2 0.000 0.500 0.282 1
Br1 0.000 0.500 0.784 1

***

4.
# PBEsol Cu2RhAu, optimized geometry
# - ρ: 13.31 Mg/m³
# - Energy of formation: 0.10 eV per atom
data_Cu2RhAu
_chemical_formula_sum 'Cu4 Rh2 Au2'
_cell_length_a 2.887
_cell_length_b 4.279
_cell_length_c 8.623
_cell_angle_alpha 90.00
_cell_angle_beta 90.00
_cell_angle_gamma 90.00
_symmetry_space_group_name_H-M 'I m m 2'
_symmetry_Int_Tables_number 44
loop_
_symmetry_equiv_pos_as_xyz
'x,y,z'
'-x,-y,z'
'-x,y,z'
'x,-y,z'
'x+1/2,y+1/2,z+1/2'
'-x+1/2,-y+1/2,z+1/2'
'-x+1/2,y+1/2,z+1/2'
'x+1/2,-y+1/2,z+1/2'
loop_
_atom_site_label
_atom_site_fract_x
_atom_site_fract_y
_atom_site_fract_z
_atom_site_occupancy
Cu1 0.000 0.000 0.000 1
Cu2 0.000 0.500 0.272 1
Rh1 0.000 0.000 0.522 1
Au1 0.000 0.500 0.752 1

***

5.
# PBEsol Li15Cr2N9, optimized geometry
# - Uncorrected formation energy: -18.96 eV per formula unit
# - ρ: 2.36 Mg/m³
data_Li15Cr2N9
_chemical_formula_sum 'Li60 Cr8 N36'
_cell_length_a 9.253
_cell_length_b 10.090
_cell_length_c 10.084
_cell_angle_alpha 90.00
_cell_angle_beta 90.00
_cell_angle_gamma 90.00
_symmetry_space_group_name_H-M 'P n a 21'
_symmetry_Int_Tables_number 33
loop_
_symmetry_equiv_pos_as_xyz
'x,y,z'
'-x,-y,z+1/2'
'-x+1/2,y+1/2,z+1/2'
'x+1/2,-y+1/2,z'
loop_
_atom_site_label
_atom_site_fract_x
_atom_site_fract_y
_atom_site_fract_z
_atom_site_occupancy
Li1 0.000 0.229 0.009 1
Li2 0.002 0.399 0.180 1
Li3 0.014 0.740 0.873 1
Li4 0.015 0.596 0.045 1
Li5 0.015 0.919 0.012 1
Li6 0.017 0.774 0.196 1
Li7 0.213 0.063 0.874 1
Li8 0.220 0.902 0.350 1
Li9 0.232 0.599 0.717 1
Li10 0.240 0.426 0.176 1
Li11 0.243 0.089 0.500 1
Li12 0.243 0.216 0.692 1
Li13 0.243 0.280 0.369 1
Li14 0.243 0.413 0.564 1
Li15 0.249 0.743 0.530 1
Cr1 0.004 0.081 0.201 1
Cr2 0.004 0.578 0.361 1
N1 0.103 0.420 0.719 1
N2 0.106 0.058 0.689 1
N3 0.107 0.434 0.361 1
N4 0.108 0.090 0.343 1
N5 0.112 0.412 0.000 1
N6 0.112 0.778 0.691 1
N7 0.125 0.082 0.068 1
N8 0.125 0.711 0.361 1
N9 0.143 0.752 0.031 1

***

6.
# PBEsol AlFe4, optimized geometry
# - ρ: 5.62 Mg/m³
# - Polymorph energy (0 for the lowest one): 25.13 kcal/mol of atoms
# - Energy of formation: 1.02 eV per atom
data_AlFe4
_chemical_formula_sum 'Al2 Fe8'
_cell_length_a 5.290
_cell_length_b 5.290
_cell_length_c 5.290
_cell_angle_alpha 90.00
_cell_angle_beta 90.00
_cell_angle_gamma 90.00
_symmetry_space_group_name_H-M 'I m -3 m'
_symmetry_Int_Tables_number 229
_symmetry_space_group_name_Hall '-I 4 2 3'
loop_
_atom_site_label
_atom_site_fract_x
_atom_site_fract_y
_atom_site_fract_z
_atom_site_occupancy
Al1 0.000 0.000 0.000 1
Fe1 0.250 0.250 0.250 1

***

7.
# PBEsol CsHg3Pd, optimized geometry
# - ρ: 9.34 Mg/m³
# - Energy of formation: -0.25 eV per atom
data_CsHg3Pd
_chemical_formula_sum 'Cs1 Hg3 Pd1'
_cell_length_a 5.307
_cell_length_b 5.307
_cell_length_c 5.307
_cell_angle_alpha 90.00
_cell_angle_beta 90.00
_cell_angle_gamma 90.00
_symmetry_space_group_name_H-M 'P m -3 m'
_symmetry_Int_Tables_number 221
_symmetry_space_group_name_Hall '-P 4 2 3'
loop_
_atom_site_label
_atom_site_fract_x
_atom_site_fract_y
_atom_site_fract_z
_atom_site_occupancy
Cs1 0.000 0.000 0.000 1
Hg1 0.000 0.500 0.500 1
Pd1 0.500 0.500 0.500 1

***

8.
# PBEsol Ta2AuSe, optimized geometry
# - Uncorrected formation energy: -0.48 eV per formula unit
# - ρ: 14.67 Mg/m³
data_Ta2AuSe
_chemical_formula_sum 'Ta2 Au1 Se1'
_cell_length_a 3.028
_cell_length_b 3.028
_cell_length_c 7.878
_cell_angle_alpha 90.00
_cell_angle_beta 90.00
_cell_angle_gamma 90.00
_symmetry_space_group_name_H-M 'P 4 m m'
_symmetry_Int_Tables_number 99
loop_
_symmetry_equiv_pos_as_xyz
'x,y,z'
'-y,x,z'
'-x,-y,z'
'y,-x,z'
'-x,y,z'
'y,x,z'
'x,-y,z'
'-y,-x,z'
loop_
_atom_site_label
_atom_site_fract_x
_atom_site_fract_y
_atom_site_fract_z
_atom_site_occupancy
Ta1 0.000 0.000 0.000 1
Ta2 0.500 0.500 0.271 1
Au1 0.000 0.000 0.508 1
Se1 0.500 0.500 0.807 1

***

9.
# PBEsol Ca2FeNi, optimized geometry
# - ρ: 4.14 Mg/m³
# - Polymorph energy (0 for the lowest one): 7.04 kcal/mol of atoms
# - Energy of formation: 0.56 eV per atom
data_Ca2FeNi
_chemical_formula_sum 'Ca4 Fe2 Ni2'
_cell_length_a 4.080
_cell_length_b 4.080
_cell_length_c 9.382
_cell_angle_alpha 90.00
_cell_angle_beta 90.00
_cell_angle_gamma 90.00
_symmetry_space_group_name_H-M 'I -4 m 2'
_symmetry_Int_Tables_number 119
_symmetry_space_group_name_Hall 'I -4 -2'
loop_
_atom_site_label
_atom_site_fract_x
_atom_site_fract_y
_atom_site_fract_z
_atom_site_occupancy
Ca1 0.000 0.000 0.000 1
Ca2 0.000 0.500 0.250 1
Fe1 0.000 0.000 0.500 1
Ni1 0.000 0.500 0.750 1

***

10.
# PBEsol Ca2SiIr, optimized geometry
# - Uncorrected formation energy: -2.41 eV per formula unit
# - ρ: 4.58 Mg/m³
data_Ca2SiIr
_chemical_formula_sum 'Ca6 Si3 Ir3'
_cell_length_a 4.0869
_cell_length_b 4.0869
_cell_length_c 22.5850
_cell_angle_alpha 90.00
_cell_angle_beta 90.00
_cell_angle_gamma 120.00
_symmetry_space_group_name_H-M 'R 3 m'
_symmetry_Int_Tables_number 160
_symmetry_space_group_name_Hall 'R 3 -2"'
loop_
_atom_site_label
_atom_site_fract_x
_atom_site_fract_y
_atom_site_fract_z
_atom_site_occupancy
Ca1 0.0000 0.0000 0.0000 1
Ca2 0.0000 0.0000 0.1714 1
Si1 0.0000 0.0000 0.4189 1
Ir1 0.0000 0.0000 0.7525 1

***

11.
# PBEsol Ti3GeCl, optimized geometry
# - Uncorrected formation energy: 2.82 eV per formula unit
# - ρ: 3.74 Mg/m³
data_Ti3GeCl
_chemical_formula_sum 'Ti3 Ge1 Cl1'
_cell_length_a 4.818
_cell_length_b 4.818
_cell_length_c 4.818
_cell_angle_alpha 90.00
_cell_angle_beta 90.00
_cell_angle_gamma 90.00
_symmetry_space_group_name_H-M 'P m -3 m'
_symmetry_Int_Tables_number 221
_symmetry_space_group_name_Hall '-P 4 2 3'
loop_
_atom_site_label
_atom_site_fract_x
_atom_site_fract_y
_atom_site_fract_z
_atom_site_occupancy
Ti1 0.000 0.000 0.500 1
Ge1 0.000 0.000 0.000 1
Cl1 0.500 0.500 0.500 1

***

12.
# PBEsol Sr2ZrTl, optimized geometry
# - ρ: 5.74 Mg/m³
# - Polymorph energy (0 for the lowest one): 0.00 kcal/mol of atoms
# - Energy of formation: 0.10 eV per atom
data_Sr2ZrTl
_chemical_formula_sum 'Sr2 Zr1 Tl1'
_cell_length_a 3.732
_cell_length_b 3.989
_cell_length_c 9.143
_cell_angle_alpha 90.00
_cell_angle_beta 90.00
_cell_angle_gamma 90.00
_symmetry_space_group_name_H-M 'P m m 2'
_symmetry_Int_Tables_number 25
loop_
_symmetry_equiv_pos_as_xyz
'x,y,z'
'-x,-y,z'
'-x,y,z'
'x,-y,z'
loop_
_atom_site_label
_atom_site_fract_x
_atom_site_fract_y
_atom_site_fract_z
_atom_site_occupancy
Sr1 0.000 0.000 0.000 1
Sr2 0.500 0.500 0.366 1
Zr1 0.500 0.500 0.745 1
Tl1 0.000 0.000 0.606 1